Material: NiTeOF2
Method: DFT, GGA+U
State: optimized geometry

Cell and atoms, written as POSCAR:
```
NiTeOF2
1.0
-3.879 -0.821 2.412
-1.972 -1.813 -3.789
1.418 -3.685 1.026
Ni Te O F
1 1 1 2
direct
0.500 0.500 0.500 Ni
0.000 0.000 0.000 Te
0.000 0.000 0.500 O
0.000 0.500 0.000 F
0.500 0.000 0.000 F
```

Summary:
Total energy = -3.2814 eV per atom
Crystal system = tetragonal
Space-group type = No. 123
Theoretical density = 4.5 g/cm3
Energy relative to the lowest polymorph listed for this composition = 565.8 meV per atom